# 1
9
Lattice="0.6940 0.5945 -6.3681 4.1806 -6.6002 -2.6361 -7.3625 0.6998 5.3776" Properties=species:S:1:pos:R:3 comment="Tl4Cd2Hg2Pb (PBE, optimized geometry)" formation_energy_mev_per_atom=39 rho_g_cm3=10.319 pbc="T T T"
Pb 0.0000 0.0000 0.0000
Tl -3.2094 -3.9019 -0.0638
Tl -3.0047 -0.4665 1.3578
Tl 0.5168 -4.8394 -4.9844
Tl 0.7215 -1.4039 -3.5628
Hg -2.0820 -1.2515 -2.0037
Hg -0.4059 -4.0544 -1.6229
Cd -5.0187 -1.3722 -0.9641
Cd 2.5308 -3.9337 -2.6626


# 2
20
Lattice="-4.1339 -3.9232 -5.0894 3.8029 -7.4825 2.6791 -7.3104 -2.1911 4.2571" Properties=species:S:1:pos:R:3 comment="TlCdHg6Pb2 (PBE, optimized geometry)" formation_energy_mev_per_atom=39 rho_g_cm3=11.301 pbc="T T T"
Hg -4.2056 -9.2686 5.6486
Hg -2.5424 -7.6678 3.6001
Hg -3.6238 -8.1546 0.2664
Hg -2.2649 -2.7952 0.4685
Hg -4.0176 -5.4424 1.5804
Hg -6.7723 -4.8954 2.8599
Hg -5.3764 -10.8017 1.3784
Hg -5.0989 -5.9291 -1.7533
Hg -0.8690 -8.7015 -1.0131
Hg -7.4139 -6.9802 0.4561
Hg -0.2275 -6.6167 1.3907
Hg -3.4357 -4.3283 -3.8018
Pb -1.8891 -5.4802 -1.0311
Pb -4.6190 -2.3678 2.8379
Pb -5.7523 -8.1167 2.8779
Pb -3.0224 -11.2291 -0.9910
Tl 1.9014 -3.7413 1.3396
Tl -5.7221 -3.0572 -0.4161
Cd -2.0670 -1.9616 -2.5447
Cd -1.7537 -4.8368 3.4681


# 3
9
Lattice="-1.2873 -1.8707 -2.4320 7.8280 -5.1284 -0.1989 -7.0633 -2.4575 5.6291" Properties=species:S:1:pos:R:3 comment="TlCd2Hg3Pb3 (PBE, optimized geometry)" formation_energy_mev_per_atom=59 rho_g_cm3=10.869 pbc="T T T"
Tl 0.0000 0.0000 0.0000
Hg -2.4980 -0.8691 1.9908
Hg 0.4942 -4.9030 3.5098
Hg 2.7684 -1.8137 -0.0703
Pb -0.3947 -3.4051 0.5520
Pb -5.4074 -2.5927 2.5805
Pb 4.6357 -4.3940 -1.3501
Cd 2.2206 -5.1734 0.5278
Cd -2.7432 -4.2831 2.4705


# 4
12
Lattice="-4.7868 -1.8921 3.7360 4.3891 -2.1625 4.5284 0.1027 9.5154 -0.4632" Properties=species:S:1:pos:R:3 comment="Tl2CdHg2Pb (PBE, optimized geometry)" formation_energy_mev_per_atom=22 rho_g_cm3=10.609 pbc="T T T"
Tl -1.0599 2.1539 2.0558
Tl -1.5982 -0.0075 6.4530
Tl 0.7648 3.3070 5.7455
Tl 1.3031 5.4684 1.3483
Hg -3.4272 0.7550 3.6823
Hg -1.0760 4.9913 3.4264
Hg 0.7810 0.4696 4.3749
Hg 3.1321 4.7059 4.1190
Pb 1.0973 -0.5406 1.1321
Pb 3.2918 -1.6218 3.3963
Cd -1.2961 -1.4866 3.0001
Cd 0.8984 -2.5679 5.2643


# 5
12
Lattice="3.3764 0.0000 0.0000 -1.6882 8.6607 0.0000 0.0000 0.0000 11.3599" Properties=species:S:1:pos:R:3 comment="TlCdHg3Pb (PBE, optimized geometry)" formation_energy_mev_per_atom=21 rho_g_cm3=11.255 pbc="T T T"
Hg 1.6882 2.9472 5.7720
Hg 1.6882 6.0964 2.8400
Hg 1.6882 2.9472 11.2679
Hg 0.0000 5.7135 5.5879
Hg 0.0000 5.7135 0.0920
Hg 0.0000 2.5643 8.5199
Cd 0.0000 8.5148 8.5199
Cd 1.6882 0.1459 2.8400
Tl 0.0000 3.0920 2.8400
Tl 1.6882 5.5686 8.5199
Pb 0.0000 0.0000 5.6800
Pb 0.0000 0.0000 0.0000


# 6
6
Lattice="5.6681 0.0000 0.0000 2.8341 4.9087 0.0000 2.8341 1.6362 6.1378" Properties=species:S:1:pos:R:3 comment="TlCd2Hg2Pb (PBE, optimized geometry)" formation_energy_mev_per_atom=60 rho_g_cm3=10.089 pbc="T T T"
Pb 5.6681 3.2725 3.0689
Cd 2.8341 1.6362 2.9973
Cd 8.5022 4.9087 3.1405
Tl 0.0000 0.0000 0.0000
Hg 8.5022 4.9087 6.0720
Hg 2.8340 1.6362 0.0658


# 7
12
Lattice="5.0407 0.0000 0.0000 0.0000 8.2356 -2.5398 -2.5203 -5.8298 9.7341" Properties=species:S:1:pos:R:3 comment="Tl3Cd2Hg6Pb (PBE, optimized geometry)" formation_energy_mev_per_atom=8 rho_g_cm3=11.334 pbc="T T T"
Hg 0.0000 -0.3396 5.3270
Hg 2.5203 0.3985 7.7435
Hg 2.5203 -1.0702 3.0873
Hg 2.5203 2.7454 1.8673
Hg 0.0000 2.0072 -0.5493
Hg 0.0000 3.4759 4.1069
Tl 2.5203 4.1178 -1.2699
Tl 0.0000 4.9624 1.1293
Tl 2.5203 -2.5566 6.0650
Cd 0.0000 0.7747 2.3841
Cd 2.5203 1.6310 4.8101
Pb 2.5203 0.0000 0.0000


# 8
9
Lattice="3.2975 0.0000 0.0000 -1.6488 9.3175 -0.1046 0.0000 -3.2835 8.1427" Properties=species:S:1:pos:R:3 comment="TlCd2Hg4Pb2 (PBE, optimized geometry)" formation_energy_mev_per_atom=33 rho_g_cm3=10.975 pbc="T T T"
Cd 1.6488 0.2800 7.3319
Cd 0.0000 5.7540 0.7062
Hg 0.0000 8.0762 2.5038
Hg 1.6488 3.3469 6.3089
Hg 0.0000 2.6871 1.7292
Hg 1.6488 -2.0422 5.5342
Tl 0.0000 0.0000 0.0000
Pb 1.6488 4.9655 3.6716
Pb 0.0000 1.0684 4.3665


# 9
9
Lattice="3.4581 0.0000 0.0000 -1.7290 2.9948 0.0000 0.0000 0.0000 23.3386" Properties=species:S:1:pos:R:3 comment="TlCd4Hg2Pb2 (PBE, optimized geometry)" formation_energy_mev_per_atom=55 rho_g_cm3=10.097 pbc="T T T"
Pb 1.7290 0.9983 4.5871
Pb 1.7290 0.9983 10.6054
Cd 0.0000 0.0000 13.2550
Cd 0.0000 0.0000 17.8987
Cd 1.7290 0.9983 20.2253
Cd 1.7290 0.9983 1.5726
Tl 0.0000 0.0000 7.5376
Hg 1.7290 0.9983 15.5661
Hg 0.0000 0.0000 22.5785


# 10
9
Lattice="-2.3260 -2.0927 -1.4796 -2.4449 -3.2458 8.4343 -4.3958 7.4368 -3.6083" Properties=species:S:1:pos:R:3 comment="Tl3CdHg2Pb3 (PBE, optimized geometry)" formation_energy_mev_per_atom=31 rho_g_cm3=11.051 pbc="T T T"
Cd 0.0000 0.0000 0.0000
Hg -4.9085 2.8296 -0.3339
Hg -4.2582 -0.7313 3.6803
Tl -3.2866 0.2547 0.7584
Tl -2.8489 -3.2845 5.0762
Tl -4.1941 4.0818 -3.2280
Pb -4.4376 2.7187 3.1306
Pb -0.8589 -1.1402 2.9629
Pb -1.5442 2.6125 -1.2676


# 11
18
Lattice="-5.0712 2.4896 -5.9586 0.9359 -7.2130 -3.8102 -4.3547 -0.6862 9.0769" Properties=species:S:1:pos:R:3 comment="Tl5CdHg2Pb (PBE, optimized geometry)" formation_energy_mev_per_atom=51 rho_g_cm3=10.401 pbc="T T T"
Tl -4.7169 -4.7804 -6.0442
Tl -5.5656 -0.9870 -4.5865
Tl -5.3898 -3.7193 0.6292
Tl -2.0677 -2.3617 -4.8844
Tl -3.7732 -0.6292 5.3523
Tl 0.0000 0.0000 0.0000
Tl -6.2385 0.0741 2.0869
Tl -2.2516 -5.4837 -2.7789
Tl -3.1003 -1.6903 -1.3211
Tl -2.9245 -4.4226 3.8946
Pb -5.2789 -3.8857 -2.7882
Pb -3.2112 -1.5240 2.0962
Cd -2.7433 -5.1305 0.1911
Cd -5.7468 -0.2792 -0.8831
Hg -3.8698 -2.3016 -7.6014
Hg -0.2655 -2.4218 -2.1674
Hg -3.0406 0.6681 -4.1721
Hg -1.0948 -5.3915 -5.5967


# 12
20
Lattice="4.0514 0.0000 0.0000 0.0000 11.8655 0.0000 0.0000 0.0000 11.8655" Properties=species:S:1:pos:R:3 comment="Tl2Cd2Hg5Pb (PBE, optimized geometry)" formation_energy_mev_per_atom=33 rho_g_cm3=10.735 pbc="T T T"
Hg 2.0257 8.1381 4.7996
Hg 2.0257 1.1331 9.6600
Hg 2.0257 9.6600 10.7324
Hg 2.0257 3.7273 7.0658
Hg 2.0257 5.9327 0.0000
Hg 2.0257 10.7324 2.2054
Hg 2.0257 0.0000 5.9327
Hg 2.0257 4.7996 3.7273
Hg 2.0257 2.2054 1.1331
Hg 2.0257 7.0658 8.1381
Tl 0.0000 1.9303 4.0024
Tl 0.0000 9.9351 7.8630
Tl 0.0000 7.8630 1.9303
Tl 0.0000 4.0024 9.9351
Cd 0.0000 7.4996 10.2985
Cd 0.0000 4.3658 1.5669
Cd 0.0000 10.2985 4.3658
Cd 0.0000 1.5669 7.4996
Pb 0.0000 0.0000 0.0000
Pb 0.0000 5.9327 5.9327


# 13
10
Lattice="6.5004 0.0000 1.9448 0.0000 9.0362 0.0000 -0.7965 -4.5181 4.2040" Properties=species:S:1:pos:R:3 comment="ZnCd2Hg6Pb (PBE, optimized geometry)" formation_energy_mev_per_atom=61 rho_g_cm3=10.825 pbc="T T T"
Cd 5.5870 4.5181 4.6711
Cd 0.1169 0.0000 1.4777
Hg 3.6026 0.0000 4.2265
Hg 2.1013 4.5181 1.9222
Hg 4.6798 6.5985 2.5774
Hg 1.0241 2.0804 3.5714
Hg 4.6798 2.4377 2.5774
Hg 1.0241 -2.0804 3.5714
Zn 0.0000 4.5181 0.0000
Pb 3.2502 0.0000 0.9724


# 14
4
Lattice="4.3576 0.0000 0.0000 0.0000 4.4280 0.0000 0.0000 0.0000 4.7840" Properties=species:S:1:pos:R:3 comment="ZrCdHgPb (PBE, optimized geometry)" formation_energy_mev_per_atom=-81 rho_g_cm3=10.999 pbc="T T T"
Hg 2.1788 0.0000 2.3920
Pb 2.1788 2.2140 0.0000
Zr 0.0000 0.0000 0.0000
Cd 0.0000 2.2140 2.3920


# 15
5
Lattice="-0.1441 2.6721 -5.0136 -4.4455 -3.3832 -1.6754 -3.6759 3.7801 2.1204" Properties=species:S:1:pos:R:3 comment="ZrCdHgPb2 (PBE, optimized geometry)" formation_energy_mev_per_atom=460 rho_g_cm3=7.217 pbc="T T T"
Hg -4.1328 1.5345 -2.2843
Pb -0.0721 1.3361 -2.5068
Pb -1.8380 1.8900 1.0602
Cd -2.2228 -1.6916 -0.8377
Zr 0.0000 0.0000 0.0000


# 16
4
Lattice="4.2878 0.0000 0.0000 0.0000 4.3033 0.0000 0.0000 0.0000 4.3033" Properties=species:S:1:pos:R:3 comment="CdHg2Pd (PBE, optimized geometry)" formation_energy_mev_per_atom=-46 rho_g_cm3=12.966 pbc="T T T"
Pd 2.1439 2.1517 2.1517
Hg 0.0000 2.1517 0.0000
Hg 0.0000 0.0000 2.1517
Cd 2.1439 0.0000 0.0000


# 17
19
Lattice="-0.9664 -6.2003 4.3073 0.7816 -3.9601 -6.4527 7.4907 0.3764 1.2953" Properties=species:S:1:pos:R:3 comment="Cd12Hg6Pd (PBE, optimized geometry)" formation_energy_mev_per_atom=-1 rho_g_cm3=10.089 pbc="T T T"
Hg 6.0560 -5.1433 2.5851
Hg 5.8271 -4.7757 -3.6123
Hg 1.4787 -5.0083 2.7622
Hg 1.6293 -8.1768 -0.5452
Hg 1.2499 -4.6407 -3.4353
Hg 5.6765 -1.6072 -0.3050
Cd 3.5910 -6.2587 -2.2816
Cd 5.9472 -4.6653 -0.3695
Cd 1.3586 -5.1187 -0.4806
Cd 6.0677 -8.0621 1.1098
Cd 3.5413 -6.5921 1.1291
Cd 4.6559 -8.8840 -1.5625
Cd 1.2381 -1.7220 -1.9599
Cd 2.6499 -0.9000 0.7124
Cd 0.1436 -2.7772 0.7784
Cd 3.7149 -3.5254 1.4315
Cd 3.7646 -3.1919 -1.9793
Cd 7.1623 -7.0068 -1.6285
Pd 0.0000 0.0000 0.0000


# 18
12
Lattice="-2.3615 -2.4855 -3.6980 5.4229 0.4802 -7.2241 1.2039 -5.6987 -0.3769" Properties=species:S:1:pos:R:3 comment="CdHg4Pd7 (PBE, optimized geometry)" formation_energy_mev_per_atom=-24 rho_g_cm3=11.951 pbc="T T T"
Pd 3.0318 -5.0132 -5.4432
Pd 0.5637 -3.3774 -1.5283
Pd 3.7015 -4.3267 -9.7707
Pd -1.1808 -1.2428 -1.8490
Pd 1.2334 -2.6909 -5.8557
Pd 3.6578 -1.5373 -4.7408
Pd 0.6074 -6.1667 -6.5581
Hg 1.2574 -1.3887 -3.3079
Hg 3.6932 -2.9680 -7.2402
Hg 0.5721 -4.7360 -4.0588
Hg 3.0078 -6.3153 -7.9910
Cd 0.0000 0.0000 0.0000


# 19
7
Lattice="4.4470 0.0045 -1.2589 -2.3924 3.9351 -0.0027 -0.2095 -0.1276 7.9476" Properties=species:S:1:pos:R:3 comment="Cd2Hg2Pd3 (PBE, optimized geometry)" formation_energy_mev_per_atom=-233 rho_g_cm3=11.396 pbc="T T T"
Pd 1.4949 0.9050 5.4297
Pd 0.0000 0.0000 0.0000
Pd 0.3502 2.9070 1.2562
Hg 0.7600 0.4599 2.7476
Hg 1.0851 3.3521 3.9383
Cd 2.4437 1.4842 0.1540
Cd -0.5986 2.3278 6.5319


# 20
11
Lattice="5.3120 0.0995 0.1494 -0.7367 7.0387 0.1539 -0.7367 -2.5689 6.5550" Properties=species:S:1:pos:R:3 comment="Cd8HgPd2 (PBE, optimized geometry)" formation_energy_mev_per_atom=-120 rho_g_cm3=8.764 pbc="T T T"
Pd -0.7367 0.5907 4.4499
Pd -0.7367 3.8791 2.2590
Cd 1.9193 4.5306 1.9328
Cd 1.9193 0.0387 4.9255
Cd 3.4948 2.4720 6.4232
Cd 3.0722 1.6596 2.4909
Cd 3.4948 4.9756 4.7551
Cd 0.7664 2.9098 4.3673
Cd 0.3438 2.0974 0.4351
Cd 0.3438 -0.4063 2.1032
Hg 2.6560 0.0498 0.0747


# 21
8
Lattice="-1.7105 -0.2863 3.9339 -0.8777 -4.1527 -0.6839 7.8952 0.3738 1.1108" Properties=species:S:1:pos:R:3 comment="Cd2HgPd5 (PBE, optimized geometry)" formation_energy_mev_per_atom=-278 rho_g_cm3=11.656 pbc="T T T"
Cd 3.3078 -0.9249 1.3709
Cd 1.9993 -3.1404 2.9900
Hg 0.0000 0.0000 0.0000
Pd 4.0899 -1.5258 4.0165
Pd -1.2941 -2.2195 1.6250
Pd 0.8007 -0.6062 2.6533
Pd 1.2171 -2.5394 0.3444
Pd 4.5063 -3.4590 1.7076


# 22
5
Lattice="4.9811 0.0000 0.0000 0.0000 4.9811 0.0000 0.0000 0.0000 4.9811" Properties=species:S:1:pos:R:3 comment="CdHgPd3 (PBE, optimized geometry)" formation_energy_mev_per_atom=674 rho_g_cm3=8.495 pbc="T T T"
Cd 0.0000 0.0000 0.0000
Pd 0.0000 2.4906 0.0000
Pd 0.0000 0.0000 2.4906
Pd 2.4906 0.0000 0.0000
Hg 2.4906 2.4906 2.4906